Entry 1:
UPaGa: optimized geometry, PBE.

Summary:
* formation energy from the elements: -20 meV per atom
* E_tot: -7.96 eV per atom
* energy relative to the lowest polymorph listed for this composition: 0 meV per atom

Cell: 2.8734 4.8835 4.8835 Å, 120.00 90.00 90.00°
Sites, in units of the cell vectors:
U 0.1667 0.6667 0.3333
Pa 0.1666 0.0000 0.0000
Ga 0.6667 0.3333 0.6667

---

Entry 2:
SrInCo: optimized geometry, PBE.

Summary:
* formation energy from the elements: 936 meV per atom
* E_tot: -2.91 eV per atom

Cell: 5.1253 5.1253 5.1253 Å, 60.00 60.00 60.00°
Sites, in units of the cell vectors:
In 0.5000 0.5000 0.5000
Sr 0.7500 0.7500 0.7500
Co 0.0000 0.0000 0.0000

---

| no. | density of states at the Fermi level (states/eV/cell) |
| --- | --- |
| 1 | 5.46 |
| 2 | 10.26 |